Computed, not measured: a relaxed structure of HgSbH3 at the PBE-GGA level of DFT.

Calculated values
SG = Pm-3m, No. 221
DOS at the Fermi energy = 0.48 states/eV/cell
Electronic total energy = -2.436 eV/atom
Energy relative to the lowest polymorph listed for this composition = 0 meV/atom

POSCAR file:
```
HgSbH3
1.0
4.1535 0.0000 0.0000
0.0000 4.1535 0.0000
0.0000 0.0000 4.1535
Hg Sb H
1 1 3
direct
0.0000 0.0000 0.0000
0.5000 0.5000 0.5000
0.0000 0.5000 0.5000
0.5000 0.0000 0.5000
0.5000 0.5000 0.0000
```